# Dy2LuIn3CuAg2

A relaxed structure of Dy2LuIn3CuAg2 (PBE, the Open Quantum Materials Database).

Cell: 3.853 7.767 7.767 Å, 119.75 90.00 90.00°
Positions (direct):
Dy: 0.000 0.201 0.799
Dy: 0.000 0.799 0.201
Lu: 0.000 0.601 0.601
In: 0.500 0.202 0.454
In: 0.500 0.454 0.202
In: 0.500 0.949 0.949
Cu: 0.000 0.202 0.202
Ag: 0.500 0.536 0.865
Ag: 0.500 0.865 0.536

Computed properties:
Symmetry   Amm2, No. 38
Total DFT energy (no corrections)   -0.143 Ha/atom